This record from the Alexandria database describes an optimized crystal structure of Ba2ScTl. The functional is PBE-GGA.

POSCAR file:
```
Ba2ScTl
1.0
-2.6670 2.6670 5.2189
2.6670 -2.6670 5.2189
2.6670 2.6670 -5.2189
Ba Sc Tl
2 1 1
Direct
0.2500 0.7500 0.5000
0.7500 0.2500 0.5000
0.0000 0.0000 0.0000
0.5000 0.5000 0.0000
```

For the total DFT energy (no corrections), the calculation gives -3.06 eV per atom. For the energy above the most stable polymorph in this dataset, the calculation gives 12.7 kJ/mol of atoms. The energy of formation from the pure elements is 0.0807 eV/atom.